Entry 1:
CuSi2Ru: optimized geometry, PBE.

Energy above the most stable polymorph in this dataset in meV/atom: 0
Energy relative to the elements, uncorrected in eV per formula unit: -1.1
D(E_F) in states/eV/f.u.: 1.33
Calculated total energy in eV per atom: -6.34

a b c (Å): 3.0474 3.4756 4.9242
angles (deg): 90.00 90.00 90.00
Positions (direct):
Ru  0.5000  0.5000  0.7844
Cu  0.0000  0.0000  0.4630
Si  0.5000  0.5000  0.2788
Si  0.0000  0.0000  0.9738

=====

Entry 2:
TlTcAs2: optimized geometry, PBE.

Energy above the most stable polymorph in this dataset in meV/atom: 37
D(E_F) in states/eV/f.u.: 1.49
Calculated formation energy in eV/f.u.: -0.34
Calculated total energy in eV per atom: -5.59

a b c (Å): 3.0784 3.0900 9.0140
angles (deg): 90.00 90.50 90.00
Positions (direct):
Tl  0.5000  0.0000  0.0000
As  0.4955  0.5000  0.3344
Tc  0.0000  0.0000  0.5000
As  0.5045  0.5000  0.6656

=====

The highest calculated total energy belongs to which entry?
TlTcAs2